1.
Density functional theory data (PBE) for Ho6MgSc2 after structural relaxation.

Results
DOS at the Fermi energy: 1.67 states/eV per atom
electronic total energy: -41.55 eV per formula unit
energy of formation: 19 meV/atom

Unit cell a=3.477 b=9.173 c=9.185 alpha=115.25 beta=90.00 gamma=79.07
Atoms (fractional coordinates):
Ho 0.519 0.460 0.663
Ho 0.481 0.540 0.337
Ho 0.813 0.874 0.335
Ho 0.666 0.167 0.009
Ho 0.334 0.833 0.991
Ho 0.187 0.126 0.665
Mg 0.000 0.500 0.000
Sc 0.148 0.204 0.336
Sc 0.852 0.796 0.664

***

2.
Density functional theory data (PBE) for HoMg2Sc after structural relaxation.

Results
DOS at the Fermi energy: 1.31 states/eV per atom
electronic total energy: -13.86 eV per formula unit
energy of formation: 60 meV/atom

Unit cell a=3.310 b=3.310 c=11.056 alpha=81.39 beta=81.39 gamma=60.00
Atoms (fractional coordinates):
Ho 0.499 0.499 0.504
Mg 0.080 0.080 0.759
Mg 0.253 0.253 0.240
Sc 0.668 0.668 0.997

***

3.
Density functional theory data (PBE) for HoMg14Sc after structural relaxation.

Results
DOS at the Fermi energy: 0.43 states/eV per atom
electronic total energy: -33.48 eV per formula unit
energy of formation: -16 meV/atom

Unit cell a=6.895 b=6.895 c=7.856 alpha=90.00 beta=90.00 gamma=90.00
Atoms (fractional coordinates):
Ho 0.375 0.375 0.500
Mg 0.875 0.875 0.000
Mg 0.375 0.375 0.000
Mg 0.875 0.375 0.500
Mg 0.875 0.375 0.000
Mg 0.375 0.875 0.500
Mg 0.375 0.875 0.000
Mg 0.630 0.120 0.245
Mg 0.630 0.120 0.755
Mg 0.120 0.630 0.245
Mg 0.120 0.630 0.755
Mg 0.630 0.630 0.245
Mg 0.630 0.630 0.755
Mg 0.120 0.120 0.245
Mg 0.120 0.120 0.755
Sc 0.875 0.875 0.500

***

4.
Density functional theory data (PBE) for Ho6MgSc after structural relaxation.

Results
DOS at the Fermi energy: 1.79 states/eV per atom
electronic total energy: -34.23 eV per formula unit
energy of formation: 146 meV/atom

Unit cell a=9.198 b=9.199 c=6.237 alpha=42.48 beta=42.48 gamma=59.98
Atoms (fractional coordinates):
Ho 0.044 0.500 0.704
Ho 0.752 0.044 0.704
Ho 0.500 0.248 0.296
Ho 0.248 0.956 0.296
Ho 0.956 0.500 0.296
Ho 0.500 0.752 0.704
Mg 0.000 0.000 0.000
Sc 0.500 0.500 0.500